[1]
Material: BiSb2AuI
Method: DFT, PBE
State: optimized geometry

Cell: 5.4831 5.4831 5.4440 Å, 90.00 90.00 90.00°
With the nearest neighbours (Å) after each atom.
Atoms (fractional coordinates):
Bi: 0.0000 0.0000 0.0000  8 Sb 3.86, 4 I 3.88
Sb: 0.0000 0.5000 0.5000  2 Au 2.74
Sb: 0.5000 0.0000 0.5000  2 Au 2.74
Au: 0.5000 0.5000 0.5000  2 I 2.72, 4 Sb 2.74
I: 0.5000 0.5000 0.0000  2 Au 2.72

- E_form (uncorrected): 0.502 eV per atom
- Size of the total moment: 0.000 Bohr magnetons per cell
- SG: No. 123
- Total energy: -2.889 eV/atom

***

[2]
Material: SnBiAu2I
Method: DFT, PBE
State: optimized geometry

Cell: 5.1764 5.1764 6.1551 Å, 90.00 90.00 90.00°
With the nearest neighbours (Å) after each atom.
Atoms (fractional coordinates):
Sn: 0.0000 0.0000 0.0000  4 Au 2.59
Bi: 0.0000 0.0000 0.5000  2 Sn 3.08
Au: 0.0000 0.5000 0.0000  2 Sn 2.59
Au: 0.5000 0.0000 0.0000  2 Sn 2.59
I: 0.5000 0.5000 0.5000  4 Bi 3.66, 8 Au 4.02

- E_form (uncorrected): 0.317 eV per atom
- Size of the total moment: 0.000 Bohr magnetons per cell
- SG: No. 123
- Total energy: -2.881 eV/atom

***

[3]
Material: SnBi2AuI
Method: DFT, PBE
State: optimized geometry

Cell: 5.9201 5.9201 5.8364 Å, 90.00 90.00 90.00°
With the nearest neighbours (Å) after each atom.
Atoms (fractional coordinates):
Sn: 0.0000 0.0000 0.0000  2 I 2.92
Bi: 0.0000 0.5000 0.5000  2 I 2.96
Bi: 0.5000 0.0000 0.5000  2 I 2.96
Au: 0.5000 0.5000 0.0000  8 Bi 4.16, 4 Sn 4.19
I: 0.0000 0.0000 0.5000  2 Sn 2.92, 4 Bi 2.96

- E_form (uncorrected): 1.109 eV per atom
- Size of the total moment: 0.000 Bohr magnetons per cell
- SG: No. 123
- Total energy: -2.209 eV/atom

***

[4]
Material: BiTe2AuI
Method: DFT, PBE
State: optimized geometry

Cell: 5.5302 5.5302 5.4101 Å, 90.00 90.00 90.00°
With the nearest neighbours (Å) after each atom.
Atoms (fractional coordinates):
Bi: 0.0000 0.0000 0.0000  8 Te 3.87, 4 I 3.91
Te: 0.0000 0.5000 0.5000  2 Au 2.77
Te: 0.5000 0.0000 0.5000  2 Au 2.77
Au: 0.5000 0.5000 0.5000  2 I 2.71, 4 Te 2.77
I: 0.5000 0.5000 0.0000  2 Au 2.71

- E_form (uncorrected): 0.339 eV per atom
- Size of the total moment: 0.000 Bohr magnetons per cell
- SG: No. 123
- Total energy: -2.659 eV/atom

***

[5]
Material: BiTe2AuI
Method: DFT, PBE
State: optimized geometry

Cell: 5.9821 5.9821 5.9787 Å, 90.00 90.00 90.00°
With the nearest neighbours (Å) after each atom.
Atoms (fractional coordinates):
Bi: 0.0000 0.0000 0.0000  2 I 2.99, 4 Te 2.99
Te: 0.0000 0.5000 0.0000  2 Bi 2.99
Te: 0.5000 0.0000 0.0000  2 Bi 2.99
Au: 0.5000 0.5000 0.5000  8 Te 4.23, 4 I 4.23
I: 0.0000 0.0000 0.5000  2 Bi 2.99

- E_form (uncorrected): 0.719 eV per atom
- Size of the total moment: 0.000 Bohr magnetons per cell
- SG: No. 123
- Total energy: -2.279 eV/atom

***

[6]
Material: ZrBiAu2I
Method: DFT, PBE
State: optimized geometry

Cell: 5.2181 5.2181 6.0182 Å, 90.00 90.00 90.00°
With the nearest neighbours (Å) after each atom.
Atoms (fractional coordinates):
Zr: 0.0000 0.0000 0.0000  4 Bi 3.69, 8 Au 3.98
Bi: 0.5000 0.5000 0.0000  2 I 3.01
Au: 0.0000 0.5000 0.5000  2 I 2.61
Au: 0.5000 0.0000 0.5000  2 I 2.61
I: 0.5000 0.5000 0.5000  4 Au 2.61

- E_form (uncorrected): 1.072 eV per atom
- Size of the total moment: 1.573 Bohr magnetons per cell
- SG: No. 123
- Total energy: -3.035 eV/atom